Entry from Alexandria via LeMat-Bulk: a relaxed structure of TcSb2PdI (PBE).

Lattice parameters (Å, degrees): 5.0213 5.0213 5.8050 90.00 90.00 90.00
Element x y z (fractional)
1 I 0.0000 0.0000 0.5000
2 Sb 0.0000 0.5000 0.0000
3 Sb 0.5000 0.0000 0.0000
4 Tc 0.0000 0.0000 0.0000
5 Pd 0.5000 0.5000 0.5000

Its formation energy without anion corrections is 0.7214 eV/atom. The volume is 29.273 Å³ per atom. Its crystal system is tetragonal. The calculation puts the energy above the most stable polymorph in this dataset at 0 meV per atom. The space group is No. 123.